w | First-principles (PBE) data for In3FeCl after structural relaxation, as listed in Alexandria.

a b c (Å): 5.0735 5.0735 5.0735
angles (deg): 90.00 90.00 90.00
Site moments in Bohr magnetons follow the coordinates.
Positions (direct):
Fe 0.0000 0.0000 0.0000  1.56
Cl 0.5000 0.5000 0.5000  -0.04
In 0.0000 0.5000 0.0000  -0.07
In 0.5000 0.0000 0.0000  -0.08
In 0.0000 0.0000 0.5000  -0.05

Properties
* crystal system: cubic



x | First-principles (PBE) data for In3FeCl after structural relaxation, as listed in Alexandria.

a b c (Å): 5.5440 5.5440 5.5440
angles (deg): 90.00 90.00 90.00
Site moments in Bohr magnetons follow the coordinates.
Positions (direct):
In 0.5000 0.0000 0.0000  -0.02
In 0.0000 0.0000 0.5000  -0.02
In 0.0000 0.5000 0.0000  -0.04
Fe 0.5000 0.5000 0.5000  3.25
Cl 0.0000 0.0000 0.0000  0.00

Properties
* crystal system: cubic



Most stable structure: w



w | First-principles (PBE) data for InFeP2Cl after structural relaxation, as listed in Alexandria.

a b c (Å): 4.2731 4.2731 5.0476
angles (deg): 90.00 90.00 90.00
Site moments in Bohr magnetons follow the coordinates.
Positions (direct):
In 0.5000 0.5000 0.5000  0.00
P 0.0000 0.5000 0.0000  0.02
P 0.5000 0.0000 0.0000  0.02
Fe 0.0000 0.0000 0.0000  0.67
Cl 0.0000 0.0000 0.5000  0.03

Properties
* crystal system: tetragonal



x | First-principles (PBE) data for InFeP2Cl after structural relaxation, as listed in Alexandria.

a b c (Å): 5.0665 5.0665 5.1073
angles (deg): 90.00 90.00 90.00
Site moments in Bohr magnetons follow the coordinates.
Positions (direct):
P 0.0000 0.5000 0.0000  -0.18
P 0.5000 0.0000 0.0000  -0.18
Fe 0.5000 0.5000 0.5000  0.11
Cl 0.0000 0.0000 0.5000  -0.07
In 0.0000 0.0000 0.0000  0.00

Properties
* crystal system: tetragonal



Most stable structure: w



w | First-principles (PBE) data for InFeS2Cl after structural relaxation, as listed in Alexandria.

a b c (Å): 5.0187 5.0187 5.0107
angles (deg): 90.00 90.00 90.00
Site moments in Bohr magnetons follow the coordinates.
Positions (direct):
Cl 0.0000 0.0000 0.5000  0.03
S 0.0000 0.5000 0.0000  0.03
S 0.5000 0.0000 0.0000  0.03
In 0.0000 0.0000 0.0000  0.01
Fe 0.5000 0.5000 0.5000  3.41

Properties
* crystal system: tetragonal



x | First-principles (PBE) data for InFeS2Cl after structural relaxation, as listed in Alexandria.

a b c (Å): 4.5136 4.5136 5.3462
angles (deg): 90.00 90.00 90.00
Site moments in Bohr magnetons follow the coordinates.
Positions (direct):
Cl 0.0000 0.0000 0.5000  0.10
Fe 0.0000 0.0000 0.0000  2.99
S 0.0000 0.5000 0.0000  0.23
S 0.5000 0.0000 0.0000  0.23
In 0.5000 0.5000 0.5000  0.04

Properties
* crystal system: tetragonal



Most stable structure: x



w | First-principles (PBE) data for InFeSCl2 after structural relaxation, as listed in Alexandria.

a b c (Å): 4.8990 4.8990 4.5444
angles (deg): 90.00 90.00 90.00
Positions (direct):
S 0.0000 0.0000 0.5000
In 0.5000 0.5000 0.5000
Cl 0.0000 0.5000 0.0000
Cl 0.5000 0.0000 0.0000
Fe 0.0000 0.0000 0.0000

Properties
* crystal system: tetragonal



x | First-principles (PBE) data for InFeSCl2 after structural relaxation, as listed in Alexandria.

a b c (Å): 5.0352 5.0352 5.0204
angles (deg): 90.00 90.00 90.00
Site moments in Bohr magnetons follow the coordinates.
Positions (direct):
Cl 0.5000 0.0000 0.0000  -0.01
Cl 0.0000 0.5000 0.0000  -0.01
S 0.0000 0.0000 0.5000  0.02
Fe 0.5000 0.5000 0.5000  -3.31
In 0.0000 0.0000 0.0000  0.00

Properties
* crystal system: tetragonal



Most stable structure: w



w | First-principles (PBE) data for Fe3IrCl after structural relaxation, as listed in Alexandria.

a b c (Å): 4.7490 4.7490 4.7490
angles (deg): 90.00 90.00 90.00
Site moments in Bohr magnetons follow the coordinates.
Positions (direct):
Ir 0.0000 0.0000 0.0000  0.66
Fe 0.0000 0.0000 0.5000  3.57
Fe 0.0000 0.5000 0.0000  3.33
Fe 0.5000 0.0000 0.0000  2.75
Cl 0.5000 0.5000 0.5000  0.08

Properties
* crystal system: cubic



x | First-principles (PBE) data for Fe3IrCl after structural relaxation, as listed in Alexandria.

a b c (Å): 4.1127 4.1127 4.1127
angles (deg): 90.00 90.00 90.00
Site moments in Bohr magnetons follow the coordinates.
Positions (direct):
Fe 0.5000 0.0000 0.0000  2.51
Fe 0.0000 0.0000 0.5000  2.17
Fe 0.0000 0.5000 0.0000  2.26
Ir 0.5000 0.5000 0.5000  0.96
Cl 0.0000 0.0000 0.0000  0.04

Properties
* crystal system: cubic



Most stable structure: x



w | First-principles (PBE) data for FePIrCl2 after structural relaxation, as listed in Alexandria.

a b c (Å): 4.9841 4.9841 4.4703
angles (deg): 90.00 90.00 90.00
Site moments in Bohr magnetons follow the coordinates.
Positions (direct):
Cl 0.5000 0.0000 0.0000  0.03
Cl 0.0000 0.5000 0.0000  0.03
P 0.0000 0.0000 0.5000  -0.01
Ir 0.0000 0.0000 0.0000  0.00
Fe 0.5000 0.5000 0.5000  3.40

Properties
* crystal system: tetragonal



x | First-principles (PBE) data for FePIrCl2 after structural relaxation, as listed in Alexandria.

a b c (Å): 4.2697 4.2697 4.7415
angles (deg): 90.00 90.00 90.00
Positions (direct):
Cl 0.5000 0.0000 0.0000
Cl 0.0000 0.5000 0.0000
Ir 0.5000 0.5000 0.5000
Fe 0.0000 0.0000 0.0000
P 0.0000 0.0000 0.5000

Properties
* crystal system: tetragonal



Most stable structure: w



w | First-principles (PBE) data for KFe2Cl after structural relaxation, as listed in Alexandria.

a b c (Å): 5.1093 5.1093 5.1093
angles (deg): 60.00 60.00 60.00
Site moments in Bohr magnetons follow the coordinates.
Positions (direct):
Fe 0.7500 0.7500 0.7500  3.19
Fe 0.2500 0.2500 0.2500  3.19
K 0.5000 0.5000 0.5000  0.01
Cl 0.0000 0.0000 0.0000  0.06

Properties
* crystal system: cubic



x | First-principles (PBE) data for KFe2Cl after structural relaxation, as listed in Alexandria.

a b c (Å): 6.9262 3.8300 3.8300
angles (deg): 90.00 90.00 90.00
Site moments in Bohr magnetons follow the coordinates.
Positions (direct):
Fe 0.0000 0.0000 0.0000  3.06
Fe 0.0000 0.5000 0.5000  3.06
Cl 0.5000 0.0000 0.5000  0.02
K 0.5000 0.5000 0.0000  0.00

Properties
* crystal system: tetragonal



y | First-principles (PBE) data for KFe2Cl after structural relaxation, as listed in Alexandria.

a b c (Å): 3.3715 3.3715 7.3392
angles (deg): 90.00 90.00 90.00
Site moments in Bohr magnetons follow the coordinates.
Positions (direct):
K 0.0000 0.0000 0.5203  0.00
Cl 0.5000 0.5000 0.7810  0.05
Fe 0.5000 0.5000 0.1430  2.84
Fe 0.0000 0.0000 0.0556  2.97

Properties
* crystal system: tetragonal



Most stable structure: y



w | First-principles (PBE) data for KFeCl2 after structural relaxation, as listed in Alexandria.

a b c (Å): 3.7115 3.7115 7.3680
angles (deg): 90.00 90.00 89.88
Site moments in Bohr magnetons follow the coordinates.
Positions (direct):
K 0.5000 0.5000 0.8031  0.00
Cl 0.5000 0.5000 0.3866  0.05
Cl 0.0000 0.0000 0.9946  0.02
Fe 0.0000 0.0000 0.3157  2.96

Properties
* crystal system: orthorhombic



x | First-principles (PBE) data for KFeCl2 after structural relaxation, as listed in Alexandria.

a b c (Å): 7.9510 7.9510 7.9510
angles (deg): 151.02 151.02 41.44
Site moments in Bohr magnetons follow the coordinates.
Positions (direct):
Cl 0.0000 0.0000 0.0000  0.03
Cl 0.2500 0.7500 0.5000  0.00
K 0.7500 0.2500 0.5000  0.00
Fe 0.5000 0.5000 0.0000  3.12

Properties
* crystal system: tetragonal



y | First-principles (PBE) data for KFeCl2 after structural relaxation, as listed in Alexandria.

a b c (Å): 3.6657 4.0078 6.8198
angles (deg): 90.07 90.00 90.00
Site moments in Bohr magnetons follow the coordinates.
Positions (direct):
K 0.5000 0.7500 0.7500  0.00
Cl 0.0000 0.2554 0.4860  0.03
Cl 0.0000 0.2446 0.0140  0.03
Fe 0.5000 0.2500 0.2500  2.86

Properties
* crystal system: monoclinic



z | First-principles (PBE) data for KFeCl2 after structural relaxation, as listed in Alexandria.

a b c (Å): 7.7401 7.7401 7.7401
angles (deg): 36.96 36.96 36.96
Site moments in Bohr magnetons follow the coordinates.
Positions (direct):
Cl 0.1006 0.1006 0.1006  0.02
Cl 0.8994 0.8994 0.8994  0.02
Fe 0.0000 0.0000 0.0000  2.90
K 0.5000 0.5000 0.5000  0.00

Properties
* crystal system: trigonal



Most stable structure: y



w | First-principles (PBE) data for KFeCl2 after structural relaxation, as listed in Alexandria.

a b c (Å): 5.0550 5.0828 3.3949
angles (deg): 90.00 90.00 90.00
Site moments in Bohr magnetons follow the coordinates.
Positions (direct):
K 0.0000 0.5000 0.5000  0.00
Fe 0.5000 0.0000 0.5000  3.05
Cl 0.5000 0.5000 0.0000  0.03
Cl 0.0000 0.0000 0.0000  0.03

Properties
* crystal system: orthorhombic



x | First-principles (PBE) data for KFeCl2 after structural relaxation, as listed in Alexandria.

a b c (Å): 4.8751 4.1089 4.8672
angles (deg): 90.00 90.00 90.00
Site moments in Bohr magnetons follow the coordinates.
Positions (direct):
Cl 0.0000 0.2494 0.8750  0.04
Cl 0.5000 0.2504 0.3751  0.04
Fe 0.0000 0.2499 0.3749  2.98
K 0.5000 0.7503 0.8750  -0.01

Properties
* crystal system: tetragonal



Most stable structure: x



w | First-principles (PBE) data for KFeCl after structural relaxation, as listed in Alexandria.

a b c (Å): 3.9711 3.9711 5.3815
angles (deg): 90.00 90.00 120.00
Site moments in Bohr magnetons follow the coordinates.
Positions (direct):
Cl 0.0000 0.0000 0.1814  0.04
K 0.3333 0.6667 0.6579  -0.04
Fe 0.6667 0.3333 0.1607  2.38

Properties
* crystal system: trigonal



x | First-principles (PBE) data for KFeCl after structural relaxation, as listed in Alexandria.

a b c (Å): 5.3708 5.3708 5.3708
angles (deg): 60.00 60.00 60.00
Site moments in Bohr magnetons follow the coordinates.
Positions (direct):
Cl 0.0000 0.0000 0.0000  0.07
K 0.2500 0.2500 0.2500  0.01
Fe 0.5000 0.5000 0.5000  3.41

Properties
* crystal system: cubic



y | First-principles (PBE) data for KFeCl after structural relaxation, as listed in Alexandria.

a b c (Å): 3.5020 3.5020 6.7829
angles (deg): 90.00 90.00 120.00
Site moments in Bohr magnetons follow the coordinates.
Positions (direct):
K 0.6667 0.3333 0.6919  -0.02
Cl 0.0000 0.0000 0.0394  0.06
Fe 0.3333 0.6667 0.2688  3.06

Properties
* crystal system: trigonal



z | First-principles (PBE) data for KFeCl after structural relaxation, as listed in Alexandria.

a b c (Å): 5.2135 5.2135 5.2135
angles (deg): 60.00 60.00 60.00
Site moments in Bohr magnetons follow the coordinates.
Positions (direct):
Cl 0.2500 0.2500 0.2500  0.12
K 0.5000 0.5000 0.5000  0.01
Fe 0.0000 0.0000 0.0000  3.29

Properties
* crystal system: cubic



Most stable structure: y



w | First-principles (PBE) data for KFeCl after structural relaxation, as listed in Alexandria.

a b c (Å): 6.9073 6.9073 6.9073
angles (deg): 152.25 152.25 39.65
Site moments in Bohr magnetons follow the coordinates.
Positions (direct):
Cl 0.9844 0.9844 0.0000  0.06
K 0.6499 0.6499 0.0000  -0.01
Fe 0.3657 0.3657 0.0000  3.12

Properties
* crystal system: tetragonal



x | First-principles (PBE) data for KFeCl after structural relaxation, as listed in Alexandria.

a b c (Å): 5.1713 5.1713 5.1713
angles (deg): 60.00 60.00 60.00
Site moments in Bohr magnetons follow the coordinates.
Positions (direct):
Cl 0.5000 0.5000 0.5000  0.14
Fe 0.2500 0.2500 0.2500  3.25
K 0.0000 0.0000 0.0000  0.03

Properties
* crystal system: cubic



Most stable structure: w



w | First-principles (PBE) data for K3NaFeCl6 after structural relaxation, as listed in Alexandria.

a b c (Å): 7.7758 7.7758 7.7758
angles (deg): 111.64 111.64 111.64
Site moments in Bohr magnetons follow the coordinates.
Positions (direct):
K 0.5000 0.0000 0.5000  0.00
K 0.0000 0.5000 0.5000  0.00
K 0.5000 0.5000 0.0000  0.00
Fe 0.5000 0.5000 0.5000  3.49
Cl 0.8055 0.5315 0.8055  0.05
Cl 0.1945 0.4685 0.1945  0.05
Cl 0.1945 0.1945 0.4685  0.05
Cl 0.5315 0.8055 0.8055  0.05
Cl 0.8055 0.8055 0.5315  0.05
Cl 0.4685 0.1945 0.1945  0.05
Na 0.0000 0.0000 0.0000  0.00

Properties
* crystal system: trigonal



x | First-principles (PBE) data for K3NaFeCl6 after structural relaxation, as listed in Alexandria.

a b c (Å): 8.4229 8.4229 8.4229
angles (deg): 92.55 92.55 92.55
Site moments in Bohr magnetons follow the coordinates.
Positions (direct):
K 0.7500 0.3738 0.1262  0.00
K 0.3738 0.1262 0.7500  0.00
K 0.8738 0.2500 0.6262  0.00
K 0.2500 0.6262 0.8738  0.00
K 0.1262 0.7500 0.3738  0.00
K 0.6262 0.8738 0.2500  0.00
Cl 0.7152 0.0442 0.9203  0.04
Cl 0.2848 0.9558 0.0797  0.04
Cl 0.0797 0.2848 0.9558  0.04
Cl 0.4558 0.7848 0.5797  0.04
Cl 0.7848 0.5797 0.4558  0.04
Cl 0.0442 0.9203 0.7152  0.04
Cl 0.9203 0.7152 0.0442  0.04
Cl 0.4203 0.5442 0.2152  0.04
Cl 0.5797 0.4558 0.7848  0.04
Cl 0.9558 0.0797 0.2848  0.04
Cl 0.2152 0.4203 0.5442  0.04
Cl 0.5442 0.2152 0.4203  0.04
Fe 0.0000 0.0000 0.0000  3.50
Fe 0.5000 0.5000 0.5000  3.50
Na 0.7500 0.7500 0.7500  0.00
Na 0.2500 0.2500 0.2500  0.00

Properties
* crystal system: trigonal



Most stable structure: x